Tb2Ho3In7 | PBE | optimized geometry

Unit cell a=5.2844 b=5.1227 c=13.0593 alpha=101.31 beta=90.00 gamma=90.00
Element x y z (fractional)
Tb  0.0000  0.1481  0.2963
Tb  0.0000  0.8519  0.7037
Ho  0.5000  0.3488  0.6975
Ho  0.5000  0.5000  0.0000
Ho  0.5000  0.6512  0.3025
In  0.0000  0.4269  0.8538
In  0.0000  0.7228  0.4455
In  0.5000  0.0773  0.1546
In  0.0000  0.2772  0.5545
In  0.0000  0.0000  0.0000
In  0.0000  0.5731  0.1462
In  0.5000  0.9227  0.8454

Formation energy: -0.194 eV per atom
Crystal system: orthorhombic